Record 1
PBE-GGA La3SiSn2, optimized geometry; energy relative to the elements, uncorrected = -0.699 eV per atom; total magnetization = 0.417 μB per formula unit
1.0
12.976 0.000 0.000
0.000 4.463 0.000
0.000 0.000 12.571
La Si Sn
12 4 8
Direct
0.057 0.250 0.118
0.113 0.750 0.549
0.228 0.250 0.785
0.272 0.750 0.285
0.387 0.250 0.049
0.443 0.750 0.618
0.557 0.250 0.382
0.613 0.750 0.951
0.728 0.250 0.715
0.772 0.750 0.215
0.887 0.250 0.451
0.943 0.750 0.882
0.127 0.250 0.369
0.373 0.750 0.869
0.627 0.250 0.131
0.873 0.750 0.631
0.009 0.750 0.301
0.196 0.750 0.994
0.304 0.250 0.494
0.491 0.250 0.801
0.509 0.750 0.199
0.696 0.750 0.506
0.804 0.250 0.006
0.991 0.250 0.699

Record 2
PBE-GGA K2InSb, optimized geometry; energy relative to the elements, uncorrected = 0.064 eV per atom; total magnetization = 0.000 μB per formula unit
1.0
-2.505 2.505 12.070
2.505 -2.505 12.070
2.505 2.505 -12.070
K In Sb
4 2 2
Direct
0.117 0.625 0.992
0.375 0.367 0.492
0.633 0.125 0.008
0.875 0.883 0.508
0.250 0.750 0.500
0.500 0.500 0.000
0.000 0.000 0.000
0.750 0.250 0.500